Below is a crystal of HfPSCl2 relaxed with PBEsol, with properties calculated at the SCAN level.

```
5
Lattice="4.705 0.000 0.000 0.000 4.705 0.000 0.000 0.000 5.258" Properties=species:S:1:pos:R:3 pbc="T T T"
Hf 0.000 0.000 0.000
P 0.000 0.000 2.629
S 2.353 2.353 2.629
Cl 0.000 2.353 0.000
Cl 2.353 0.000 0.000
```

Properties
Symmetry: P4/mmm
DOS(E_F), states/eV/atom: 0.728
Calculated volume, Å³ per atom: 23.28
Energy, eV per atom: -20.079



Below is a crystal of HfPSeCl2 relaxed with PBEsol, with properties calculated at the SCAN level.

```
5
Lattice="4.712 0.000 0.000 0.000 4.712 0.000 0.000 0.000 5.295" Properties=species:S:1:pos:R:3 pbc="T T T"
Hf 0.000 0.000 0.000
P 0.000 0.000 2.648
Se 2.356 2.356 2.648
Cl 0.000 2.356 0.000
Cl 2.356 0.000 0.000
```

Properties
Symmetry: P4/mmm
DOS(E_F), states/eV/atom: 0.650
Calculated volume, Å³ per atom: 23.51
Energy, eV per atom: -22.297



Below is a crystal of HfSi2PCl relaxed with PBEsol, with properties calculated at the SCAN level.

```
5
Lattice="5.136 0.000 0.000 0.000 5.136 0.000 0.000 0.000 4.633" Properties=species:S:1:pos:R:3 pbc="T T T"
Hf 0.000 0.000 0.000
Si 0.000 2.568 0.000
Si 2.568 0.000 0.000
P 2.568 2.568 2.317
Cl 0.000 0.000 2.317
```

Properties
Symmetry: P4/mmm
DOS(E_F), states/eV/atom: 0.639
Calculated volume, Å³ per atom: 24.44
Energy, eV per atom: -19.463



Below is a crystal of HfTaP2Cl relaxed with PBEsol, with properties calculated at the SCAN level.

```
5
Lattice="4.803 0.000 0.000 0.000 4.803 0.000 0.000 0.000 4.501" Properties=species:S:1:pos:R:3 pbc="T T T"
Hf 0.000 0.000 0.000
Ta 2.401 2.401 2.251
P 0.000 2.401 2.251
P 2.401 0.000 2.251
Cl 2.401 2.401 0.000
```

Properties
Symmetry: P4/mmm
DOS(E_F), states/eV/atom: 0.714
Calculated volume, Å³ per atom: 20.77
Energy, eV per atom: -31.299



Below is a crystal of HfTcP2Cl relaxed with PBEsol, with properties calculated at the SCAN level.

```
5
Lattice="4.517 0.000 0.000 0.000 4.517 0.000 0.000 0.000 4.638" Properties=species:S:1:pos:R:3 pbc="T T T"
Hf 0.000 0.000 0.000
Tc 2.258 2.258 2.319
P 0.000 2.258 2.319
P 2.258 0.000 2.319
Cl 2.258 2.258 0.000
```

Properties
Symmetry: P4/mmm
DOS(E_F), states/eV/atom: 0.778
Calculated volume, Å³ per atom: 18.92
Energy, eV per atom: -24.823



Below is a crystal of HfTiP2Cl relaxed with PBEsol, with properties calculated at the SCAN level.

```
5
Lattice="4.932 0.000 0.000 0.000 4.932 0.000 0.000 0.000 4.729" Properties=species:S:1:pos:R:3 pbc="T T T"
Hf 0.000 0.000 0.000
Ti 2.466 2.466 2.364
P 0.000 2.466 0.000
P 2.466 0.000 0.000
Cl 0.000 0.000 2.364
```

Properties
Symmetry: P4/mmm
DOS(E_F), states/eV/atom: 0.366
Calculated volume, Å³ per atom: 23.00
Energy, eV per atom: -21.671



Below is a crystal of HfTlP2Cl relaxed with PBEsol, with properties calculated at the SCAN level.

```
5
Lattice="4.967 0.000 0.000 0.000 4.967 0.000 0.000 0.000 5.009" Properties=species:S:1:pos:R:3 pbc="T T T"
Hf 0.000 0.000 0.000
Tl 2.484 2.484 2.505
P 0.000 2.484 0.000
P 2.484 0.000 0.000
Cl 0.000 0.000 2.505
```

Properties
Symmetry: P4/mmm
DOS(E_F), states/eV/atom: 0.497
Calculated volume, Å³ per atom: 24.72
Energy, eV per atom: -33.194



Below is a crystal of HfPb2Cl relaxed with PBEsol, with properties calculated at the SCAN level.

```
4
Lattice="0.000 3.674 3.674 3.674 0.000 3.674 3.674 3.674 0.000" Properties=species:S:1:pos:R:3 pbc="T T T"
Hf 0.000 0.000 0.000
Pb 1.837 1.837 1.837
Pb 5.511 5.511 5.511
Cl 3.674 3.674 3.674
```

Properties
Symmetry: Fm-3m
DOS(E_F), states/eV/atom: 0.927
Calculated volume, Å³ per atom: 24.80
Energy, eV per atom: -55.330



- Which formula does entry 1 have?
  HfPSCl2



- The highest energy belongs to which entry?
  HfSi2PCl



- Look up the energy of the sixth one.
  -21.671 eV per atom